# 1
Entry from Alexandria via LeMat-Bulk: a geometry-optimized CuRhCl structure (GGA-PBE).

## Properties
relative energy among the computed polymorphs: 126 meV/atom
crystal system: tetragonal
theoretical density: 7.17 g cm⁻³
raw formation energy: 0.391 eV/atom

a = 5.696 Å, b = 5.696 Å, c = 5.696 Å
α = 149.76°, β = 149.76°, γ = 43.30°
Last column: magnetic moment on the atom in μB.
Sites, in units of the cell vectors:
Rh 0.672 0.672 0.000  1.11
Cu 0.321 0.321 0.000  0.19
Cl 0.007 0.007 0.000  0.15

# 2
Entry from Alexandria via LeMat-Bulk: a geometry-optimized Cu2RhCl structure (GGA-PBE).

## Properties
relative energy among the computed polymorphs: 185 meV/atom
crystal system: orthorhombic
theoretical density: 7.55 g cm⁻³
raw formation energy: 0.333 eV/atom

a = 2.885 Å, b = 2.885 Å, c = 8.150 Å
α = 90.00°, β = 90.00°, γ = 120.66°
Sites, in units of the cell vectors:
Rh 0.000 0.000 0.499
Cu 0.000 0.000 0.001
Cu 0.500 0.500 0.243
Cl 0.500 0.500 0.757

# 3
Entry from Alexandria via LeMat-Bulk: a geometry-optimized Cu3RhCl structure (GGA-PBE).

## Properties
relative energy among the computed polymorphs: 0 meV/atom
crystal system: cubic
theoretical density: 6.81 g cm⁻³
raw formation energy: 0.902 eV/atom

a = 4.313 Å, b = 4.313 Å, c = 4.313 Å
α = 90.00°, β = 90.00°, γ = 90.00°
Sites, in units of the cell vectors:
Rh 0.500 0.500 0.500
Cu 0.000 0.500 0.000
Cu 0.000 0.000 0.500
Cu 0.500 0.000 0.000
Cl 0.000 0.000 0.000

# 4
Entry from Alexandria via LeMat-Bulk: a geometry-optimized Cu2RhCl structure (GGA-PBE).

## Properties
relative energy among the computed polymorphs: 342 meV/atom
crystal system: tetragonal
theoretical density: 7.71 g cm⁻³
raw formation energy: 0.489 eV/atom

a = 4.874 Å, b = 4.874 Å, c = 4.874 Å
α = 134.90°, β = 134.90°, γ = 65.68°
Sites, in units of the cell vectors:
Rh 0.500 0.500 0.000
Cu 0.000 0.000 0.000
Cu 0.250 0.750 0.500
Cl 0.750 0.250 0.500

# 5
Entry from Alexandria via LeMat-Bulk: a geometry-optimized Cu2RhCl structure (GGA-PBE).

## Properties
relative energy among the computed polymorphs: 252 meV/atom
crystal system: tetragonal
theoretical density: 7.47 g cm⁻³
raw formation energy: 0.400 eV/atom

a = 6.932 Å, b = 6.932 Å, c = 5.483 Å
α = 50.79°, β = 50.79°, γ = 90.00°
Sites, in units of the cell vectors:
Rh 0.000 0.000 0.000
Rh 0.750 0.250 0.500
Cu 0.607 0.125 0.250
Cu 0.143 0.625 0.250
Cu 0.375 0.393 0.750
Cu 0.875 0.857 0.750
Cl 0.500 0.500 0.000
Cl 0.250 0.750 0.500

# 6
Entry from Alexandria via LeMat-Bulk: a geometry-optimized CuRhCl structure (GGA-PBE).

## Properties
relative energy among the computed polymorphs: 51 meV/atom
crystal system: orthorhombic
theoretical density: 7.23 g cm⁻³
raw formation energy: 0.317 eV/atom

a = 6.497 Å, b = 6.124 Å, c = 3.018 Å
α = 83.15°, β = 69.38°, γ = 27.47°
Sites, in units of the cell vectors:
Rh 0.668 0.668 0.332
Cu 0.336 0.336 0.664
Cl 0.995 0.995 0.005

# 7
Entry from Alexandria via LeMat-Bulk: a geometry-optimized CuRhCl6 structure (GGA-PBE).

## Properties
relative energy among the computed polymorphs: 0 meV/atom
crystal system: monoclinic
theoretical density: 2.98 g cm⁻³
raw formation energy: -0.442 eV/atom

a = 6.464 Å, b = 6.454 Å, c = 6.511 Å
α = 119.71°, β = 102.68°, γ = 63.70°
Last column: magnetic moment on the atom in μB.
Sites, in units of the cell vectors:
Cu 0.500 0.500 0.000  0.49
Rh 0.000 0.000 0.000  0.36
Cl 0.790 0.791 0.000  0.16
Cl 0.258 0.880 0.279  0.10
Cl 0.210 0.209 0.000  0.16
Cl 0.742 0.399 0.279  0.10
Cl 0.742 0.120 0.721  0.10
Cl 0.258 0.601 0.721  0.10

# 8
Entry from Alexandria via LeMat-Bulk: a geometry-optimized CuRhCl4 structure (GGA-PBE).

## Properties
crystal system: monoclinic
theoretical density: 3.78 g cm⁻³
raw formation energy: -0.511 eV/atom

a = 3.537 Å, b = 6.240 Å, c = 7.921 Å
α = 129.29°, β = 90.00°, γ = 90.00°
Sites, in units of the cell vectors:
Cu 0.000 0.000 0.000
Rh 0.500 0.000 0.500
Cl 0.000 0.328 0.675
Cl 0.500 0.971 0.792
Cl 0.500 0.029 0.208
Cl 0.000 0.672 0.325

# 9
Entry from Alexandria via LeMat-Bulk: a geometry-optimized CuRhCl4 structure (GGA-PBE).

## Properties
crystal system: cubic
theoretical density: 3.79 g cm⁻³
raw formation energy: 1.128 eV/atom

a = 5.759 Å, b = 5.759 Å, c = 5.759 Å
α = 60.00°, β = 60.00°, γ = 60.00°
Last column: magnetic moment on the atom in μB.
Sites, in units of the cell vectors:
Cu 0.750 0.750 0.750  0.00
Rh 0.000 0.000 0.000  1.69
Cl 0.877 0.374 0.374  0.32
Cl 0.374 0.374 0.877  0.32
Cl 0.374 0.877 0.374  0.32
Cl 0.374 0.374 0.374  0.32

# 10
Entry from Alexandria via LeMat-Bulk: a geometry-optimized Cu2RhCl structure (GGA-PBE).

## Properties
relative energy among the computed polymorphs: 112 meV/atom
crystal system: tetragonal
theoretical density: 7.51 g cm⁻³
raw formation energy: 0.260 eV/atom

a = 3.052 Å, b = 3.052 Å, c = 6.296 Å
α = 90.00°, β = 90.00°, γ = 90.00°
Last column: magnetic moment on the atom in μB.
Sites, in units of the cell vectors:
Rh 0.000 0.000 0.460  0.76
Cu 0.000 0.000 0.029  0.01
Cu 0.500 0.500 0.243  0.12
Cl 0.500 0.500 0.768  0.04

# 11
Entry from Alexandria via LeMat-Bulk: a geometry-optimized Cu2RhCl structure (GGA-PBE).

## Properties
relative energy among the computed polymorphs: 95 meV/atom
crystal system: orthorhombic
theoretical density: 7.46 g cm⁻³
raw formation energy: 0.243 eV/atom

a = 2.912 Å, b = 2.912 Å, c = 7.917 Å
α = 90.00°, β = 90.00°, γ = 118.40°
Last column: magnetic moment on the atom in μB.
Sites, in units of the cell vectors:
Rh 0.500 0.500 0.250  0.36
Cu 0.000 0.000 0.992  0.03
Cu 0.000 0.000 0.508  0.03
Cl 0.500 0.500 0.750  0.01

# 12
Entry from Alexandria via LeMat-Bulk: a geometry-optimized Cu2RhCl structure (GGA-PBE).

## Properties
relative energy among the computed polymorphs: 0 meV/atom
crystal system: orthorhombic
theoretical density: 7.17 g cm⁻³
raw formation energy: 0.148 eV/atom

a = 2.963 Å, b = 2.984 Å, c = 6.956 Å
α = 90.00°, β = 90.00°, γ = 90.00°
Last column: magnetic moment on the atom in μB.
Sites, in units of the cell vectors:
Rh 0.500 0.250 0.250  0.72
Cu 0.000 0.750 0.025  0.12
Cu 0.000 0.750 0.475  0.12
Cl 0.500 0.750 0.750  0.04

# 13
Entry from Alexandria via LeMat-Bulk: a geometry-optimized TlCuRhCl6 structure (GGA-PBE).

## Properties
crystal system: trigonal
theoretical density: 3.96 g cm⁻³
raw formation energy: -0.644 eV/atom

a = 6.301 Å, b = 6.301 Å, c = 7.122 Å
α = 90.01°, β = 89.99°, γ = 59.98°
Last column: magnetic moment on the atom in μB.
Sites, in units of the cell vectors:
Tl 0.000 0.000 0.000  0.01
Cu 0.667 0.667 0.500  0.49
Rh 0.333 0.333 0.500  0.12
Cl 0.012 0.359 0.312  0.06
Cl 0.359 0.012 0.688  0.06
Cl 0.629 0.359 0.688  0.06
Cl 0.012 0.629 0.688  0.06
Cl 0.359 0.629 0.312  0.06
Cl 0.629 0.012 0.312  0.06

# 14
Entry from Alexandria via LeMat-Bulk: a geometry-optimized Tl2CuRhCl6 structure (GGA-PBE).

## Properties
crystal system: trigonal
theoretical density: 5.28 g cm⁻³
raw formation energy: -0.735 eV/atom

a = 6.990 Å, b = 6.990 Å, c = 12.391 Å
α = 73.62°, β = 73.62°, γ = 60.00°
Sites, in units of the cell vectors:
Tl 0.879 0.879 0.362
Tl 0.121 0.121 0.638
Tl 0.700 0.700 0.900
Tl 0.300 0.300 0.100
Cu 0.587 0.587 0.238
Cu 0.413 0.413 0.762
Rh 0.000 0.000 0.000
Rh 0.500 0.500 0.500
Cl 0.854 0.384 0.378
Cl 0.384 0.854 0.378
Cl 0.384 0.384 0.378
Cl 0.146 0.616 0.622
Cl 0.616 0.146 0.622
Cl 0.616 0.616 0.622
Cl 0.715 0.203 0.880
Cl 0.203 0.715 0.880
Cl 0.203 0.203 0.880
Cl 0.285 0.797 0.120
Cl 0.797 0.285 0.120
Cl 0.797 0.797 0.120

# 15
Entry from Alexandria via LeMat-Bulk: a geometry-optimized CuRh2WCl structure (GGA-PBE).

## Properties
crystal system: tetragonal
theoretical density: 9.74 g cm⁻³
raw formation energy: 1.133 eV/atom

a = 4.362 Å, b = 4.377 Å, c = 4.362 Å
α = 90.00°, β = 90.00°, γ = 90.00°
Sites, in units of the cell vectors:
Rh 0.000 0.000 0.500
Rh 0.500 0.000 0.000
Cu 0.500 0.500 0.500
W 0.000 0.500 0.000
Cl 0.000 0.000 0.000

# 16
Entry from Alexandria via LeMat-Bulk: a geometry-optimized Zr2CuRhCl structure (GGA-PBE).

## Properties
crystal system: tetragonal
theoretical density: 6.77 g cm⁻³
raw formation energy: 0.174 eV/atom

a = 4.763 Å, b = 4.153 Å, c = 4.763 Å
α = 90.00°, β = 90.00°, γ = 90.00°
Sites, in units of the cell vectors:
Rh 0.500 0.500 0.500
Cu 0.000 0.500 0.000
Zr 0.000 0.000 0.500
Zr 0.500 0.000 0.000
Cl 0.000 0.000 0.000

# 17
Entry from Alexandria via LeMat-Bulk: a geometry-optimized ZrCu2RhCl structure (GGA-PBE).

## Properties
crystal system: tetragonal
theoretical density: 7.04 g cm⁻³
raw formation energy: 0.479 eV/atom

a = 4.190 Å, b = 4.795 Å, c = 4.190 Å
α = 90.00°, β = 90.00°, γ = 90.00°
Sites, in units of the cell vectors:
Rh 0.500 0.500 0.500
Cu 0.000 0.000 0.500
Cu 0.500 0.000 0.000
Zr 0.000 0.500 0.000
Cl 0.000 0.000 0.000

# 18
Entry from Alexandria via LeMat-Bulk: a geometry-optimized Cu3RuCl8 structure (GGA-PBE).

## Properties
crystal system: orthorhombic
theoretical density: 3.67 g cm⁻³
raw formation energy: -0.478 eV/atom

a = 6.130 Å, b = 6.130 Å, c = 7.345 Å
α = 90.00°, β = 90.00°, γ = 109.38°
Last column: magnetic moment on the atom in μB.
Sites, in units of the cell vectors:
Cu 0.000 0.500 0.243  0.31
Cu 0.500 0.500 0.000  0.39
Cu 0.500 0.000 0.757  0.31
Ru 0.500 0.500 0.500  0.88
Cl 0.736 0.264 0.500  0.07
Cl 0.727 0.273 0.000  0.11
Cl 0.721 0.747 0.728  0.09
Cl 0.747 0.721 0.272  0.09
Cl 0.253 0.279 0.272  0.09
Cl 0.279 0.253 0.728  0.09
Cl 0.273 0.727 0.000  0.11
Cl 0.264 0.736 0.500  0.07

# 19
Entry from Alexandria via LeMat-Bulk: a geometry-optimized CuRu4Cl structure (GGA-PBE).

## Properties
crystal system: cubic
theoretical density: 8.60 g cm⁻³
raw formation energy: 1.110 eV/atom

a = 5.160 Å, b = 5.160 Å, c = 5.160 Å
α = 60.00°, β = 60.00°, γ = 60.00°
Last column: magnetic moment on the atom in μB.
Sites, in units of the cell vectors:
Cu 0.000 0.000 0.000  0.05
Ru 0.874 0.375 0.375  0.92
Ru 0.375 0.375 0.874  0.92
Ru 0.375 0.874 0.375  0.92
Ru 0.375 0.375 0.375  0.92
Cl 0.750 0.750 0.750  0.09

# 20
Entry from Alexandria via LeMat-Bulk: a geometry-optimized CuRuCl3 structure (GGA-PBE).

## Properties
relative energy among the computed polymorphs: 0 meV/atom
crystal system: cubic
theoretical density: 4.09 g cm⁻³
raw formation energy: 0.248 eV/atom

a = 4.791 Å, b = 4.791 Å, c = 4.791 Å
α = 90.00°, β = 90.00°, γ = 90.00°
Last column: magnetic moment on the atom in μB.
Sites, in units of the cell vectors:
Ru 0.000 0.000 0.000  1.16
Cu 0.500 0.500 0.500  -0.01
Cl 0.000 0.500 0.000  0.03
Cl 0.000 0.000 0.500  0.03
Cl 0.500 0.000 0.000  0.07

# 21
Entry from Alexandria via LeMat-Bulk: a geometry-optimized CuRu3Cl structure (GGA-PBE).

## Properties
crystal system: cubic
theoretical density: 6.63 g cm⁻³
raw formation energy: 1.824 eV/atom

a = 4.652 Å, b = 4.652 Å, c = 4.652 Å
α = 90.00°, β = 90.00°, γ = 90.00°
Last column: magnetic moment on the atom in μB.
Sites, in units of the cell vectors:
Ru 0.000 0.500 0.000  2.39
Ru 0.000 0.000 0.500  2.66
Ru 0.500 0.000 0.000  1.84
Cu 0.000 0.000 0.000  0.33
Cl 0.500 0.500 0.500  0.21

# 22
Entry from Alexandria via LeMat-Bulk: a geometry-optimized Cu3RuCl structure (GGA-PBE).

## Properties
crystal system: cubic
theoretical density: 5.17 g cm⁻³
raw formation energy: 1.208 eV/atom

a = 4.719 Å, b = 4.719 Å, c = 4.719 Å
α = 90.00°, β = 90.00°, γ = 90.00°
Last column: magnetic moment on the atom in μB.
Sites, in units of the cell vectors:
Ru 0.000 0.000 0.000  1.51
Cu 0.000 0.500 0.000  0.17
Cu 0.000 0.000 0.500  0.36
Cu 0.500 0.000 0.000  0.06
Cl 0.500 0.500 0.500  0.00

# 23
Entry from Alexandria via LeMat-Bulk: a geometry-optimized Cu3RuCl structure (GGA-PBE).

## Properties
crystal system: cubic
theoretical density: 6.85 g cm⁻³
raw formation energy: 1.206 eV/atom

a = 4.296 Å, b = 4.296 Å, c = 4.296 Å
α = 90.00°, β = 90.00°, γ = 90.00°
Sites, in units of the cell vectors:
Ru 0.500 0.500 0.500
Cu 0.000 0.500 0.000
Cu 0.000 0.000 0.500
Cu 0.500 0.000 0.000
Cl 0.000 0.000 0.000

# 24
Entry from Alexandria via LeMat-Bulk: a geometry-optimized CuRu2Cl8 structure (GGA-PBE).

## Properties
crystal system: triclinic
theoretical density: 3.31 g cm⁻³
raw formation energy: -0.396 eV/atom

a = 5.913 Å, b = 7.156 Å, c = 7.732 Å
α = 122.59°, β = 89.85°, γ = 91.04°
Last column: magnetic moment on the atom in μB.
Sites, in units of the cell vectors:
Cu 0.000 0.000 0.000  -0.02
Ru 0.162 0.163 0.581  0.25
Ru 0.838 0.837 0.419  0.25
Cl 0.226 0.789 0.396  0.02
Cl 0.774 0.211 0.604  0.02
Cl 0.781 0.822 0.112  0.00
Cl 0.222 0.173 0.287  0.00
Cl 0.279 0.528 0.762  0.02
Cl 0.219 0.178 0.888  0.00
Cl 0.778 0.827 0.713  0.00
Cl 0.721 0.472 0.238  0.02

# 25
Entry from Alexandria via LeMat-Bulk: a geometry-optimized CuRuCl3 structure (GGA-PBE).

## Properties
relative energy among the computed polymorphs: 174 meV/atom
crystal system: cubic
theoretical density: 4.23 g cm⁻³
raw formation energy: 0.422 eV/atom

a = 4.737 Å, b = 4.737 Å, c = 4.737 Å
α = 90.00°, β = 90.00°, γ = 90.00°
Last column: magnetic moment on the atom in μB.
Sites, in units of the cell vectors:
Ru 0.500 0.500 0.500  2.90
Cu 0.000 0.000 0.000  0.07
Cl 0.000 0.500 0.000  0.08
Cl 0.000 0.000 0.500  0.05
Cl 0.500 0.000 0.000  0.05

# 26
Entry from Alexandria via LeMat-Bulk: a geometry-optimized CuRuS2Cl structure (GGA-PBE).

## Properties
relative energy among the computed polymorphs: 0 meV/atom
crystal system: tetragonal
theoretical density: 4.24 g cm⁻³
raw formation energy: 0.471 eV/atom

a = 4.519 Å, b = 4.519 Å, c = 5.063 Å
α = 90.00°, β = 90.00°, γ = 90.00°
Sites, in units of the cell vectors:
Ru 0.000 0.000 0.000
S 0.000 0.500 0.000
S 0.500 0.000 0.000
Cu 0.500 0.500 0.500
Cl 0.000 0.000 0.500

# 27
Entry from Alexandria via LeMat-Bulk: a geometry-optimized CuRuSCl2 structure (GGA-PBE).

## Properties
relative energy among the computed polymorphs: 384 meV/atom
crystal system: tetragonal
theoretical density: 4.42 g cm⁻³
raw formation energy: 0.679 eV/atom

a = 4.589 Å, b = 4.589 Å, c = 4.770 Å
α = 90.00°, β = 90.00°, γ = 90.00°
Last column: magnetic moment on the atom in μB.
Sites, in units of the cell vectors:
Ru 0.500 0.500 0.500  3.06
S 0.000 0.000 0.500  0.24
Cu 0.000 0.000 0.000  0.03
Cl 0.000 0.500 0.000  0.10
Cl 0.500 0.000 0.000  0.10